(1)
The following is a DFT calculation (PBE) of a relaxed structure of HfVNiOs.

Calculated values
For the formation enthalpy at 0 K, the calculation gives -281 meV per atom. The density of states at the Fermi level comes out at 3.97 states/eV/cell. As for the total energy: -9.302 eV per atom.

Structure (POSCAR):
```
HfVNiOs
1.0
0.000 3.112 3.112
3.112 0.000 3.112
3.112 3.112 0.000
Hf V Ni Os
1 1 1 1
direct
0.000 0.000 0.000
0.500 0.500 0.500
0.250 0.250 0.250
0.750 0.750 0.750
```

=====

(2)
The following is a DFT calculation (PBE) of a relaxed structure of Hf2NiOsW.

Calculated values
For the formation enthalpy at 0 K, the calculation gives 1136 meV per atom. The density of states at the Fermi level comes out at 6.22 states/eV/cell. As for the total energy: -8.839 eV per atom.

Structure (POSCAR):
```
Hf2NiOsW
1.0
4.978 0.000 0.000
0.000 4.978 0.000
0.000 0.000 4.700
Hf Ni Os W
2 1 1 1
direct
0.000 0.500 0.000
0.500 0.000 0.000
0.000 0.000 0.500
0.500 0.500 0.000
0.500 0.500 0.500
```

=====

(3)
The following is a DFT calculation (PBE) of a relaxed structure of YHfNiOs.

Calculated values
For the formation enthalpy at 0 K, the calculation gives -372 meV per atom. The density of states at the Fermi level comes out at 1.69 states/eV/cell. As for the total energy: -8.729 eV per atom.

Structure (POSCAR):
```
YHfNiOs
1.0
0.000 3.311 3.311
3.311 0.000 3.311
3.311 3.311 0.000
Y Hf Ni Os
1 1 1 1
direct
0.000 0.000 0.000
0.500 0.500 0.500
0.250 0.250 0.250
0.750 0.750 0.750
```

=====

(4)
The following is a DFT calculation (PBE) of a relaxed structure of HfZnNiOs.

Calculated values
For the formation enthalpy at 0 K, the calculation gives -271 meV per atom. The density of states at the Fermi level comes out at 1.59 states/eV/cell. As for the total energy: -7.330 eV per atom.

Structure (POSCAR):
```
HfZnNiOs
1.0
0.000 3.112 3.112
3.112 0.000 3.112
3.112 3.112 0.000
Hf Zn Ni Os
1 1 1 1
direct
0.000 0.000 0.000
0.500 0.500 0.500
0.750 0.750 0.750
0.250 0.250 0.250
```

=====

(5)
The following is a DFT calculation (PBE) of a relaxed structure of HfZnNi2Os.

Calculated values
For the formation enthalpy at 0 K, the calculation gives 933 meV per atom. The density of states at the Fermi level comes out at 6.13 states/eV/cell. As for the total energy: -5.871 eV per atom.

Structure (POSCAR):
```
HfZnNi2Os
1.0
4.475 0.000 0.000
0.000 4.475 0.000
0.000 0.000 4.600
Hf Zn Ni Os
1 1 2 1
direct
0.000 0.000 0.000
0.500 0.500 0.000
0.000 0.500 0.500
0.500 0.000 0.500
0.500 0.500 0.500
```

=====

(6)
The following is a DFT calculation (PBE) of a relaxed structure of HfZrNiOs.

Calculated values
For the formation enthalpy at 0 K, the calculation gives -501 meV per atom. The density of states at the Fermi level comes out at 4.41 states/eV/cell. As for the total energy: -9.379 eV per atom.

Structure (POSCAR):
```
HfZrNiOs
1.0
0.000 3.246 3.246
3.246 0.000 3.246
3.246 3.246 0.000
Hf Zr Ni Os
1 1 1 1
direct
0.000 0.000 0.000
0.500 0.500 0.500
0.250 0.250 0.250
0.750 0.750 0.750
```